Entry w
The following is a DFT calculation (PBE) of a relaxed TiNbBi3O9 crystal.

Unit cell a=13.0029 b=13.0029 c=13.0029 alpha=162.88 beta=162.88 gamma=24.30
Fractional positions:
Ti 0.0000 0.0000 0.0000
Nb 0.8240 0.8240 0.0000
Bi 0.2097 0.2097 0.0000
Bi 0.4233 0.4233 0.0000
Bi 0.6095 0.6095 0.0000
O 0.0706 0.0706 0.0000
O 0.1595 0.6595 0.5000
O 0.3350 0.8350 0.5000
O 0.4852 0.9852 0.5000
O 0.6595 0.1595 0.5000
O 0.7485 0.7485 0.0000
O 0.8350 0.3350 0.5000
O 0.9115 0.9115 0.0000
O 0.9852 0.4852 0.5000

Properties
As for the volume: 190 Å³ per cell.

Entry x
The following is a DFT calculation (PBE) of a relaxed TiNbBi3O9 crystal.

Unit cell a=5.4689 b=5.5513 c=13.0724 alpha=90.00 beta=101.57 gamma=90.00
Fractional positions:
Ti 0.1669 0.0000 0.3284
Ti 0.8331 0.5000 0.6716
Nb 0.3271 0.0038 0.6722
Nb 0.6729 0.5038 0.3278
Bi 0.0738 0.4110 0.1016
Bi 0.2505 0.4540 0.5015
Bi 0.4795 0.4223 0.9002
Bi 0.5205 0.9223 0.0998
Bi 0.7495 0.9540 0.4985
Bi 0.9262 0.9110 0.8984
O 0.0289 0.8222 0.6729
O 0.1336 0.3262 0.6720
O 0.1680 0.0510 0.5000
O 0.1737 0.0202 0.1911
O 0.2387 0.6925 0.9983
O 0.2600 0.1924 0.9988
O 0.4052 0.7489 0.3736
O 0.4735 0.2461 0.3745
O 0.4781 0.0115 0.8144
O 0.5219 0.5115 0.1856
O 0.5265 0.7461 0.6255
O 0.5948 0.2489 0.6264
O 0.7400 0.6924 0.0012
O 0.7613 0.1925 0.0017
O 0.8263 0.5202 0.8089
O 0.8320 0.5510 0.5000
O 0.8664 0.8262 0.3280
O 0.9711 0.3222 0.3271

Properties
As for the volume: 389 Å³ per cell.

The relative energies come out as entry w 66; entry x 0, with values in meV/atom.

Entry w
The following is a DFT calculation (PBE) of a relaxed NbBiOs3 crystal.

Unit cell a=4.8508 b=4.8508 c=4.8508 alpha=90.00 beta=90.00 gamma=90.00
Fractional positions:
Nb 0.0000 0.0000 0.0000
Bi 0.5000 0.5000 0.5000
Os 0.0000 0.5000 0.5000
Os 0.5000 0.0000 0.5000
Os 0.5000 0.5000 0.0000

Properties
As for the volume: 114 Å³ per cell.

Entry x
The following is a DFT calculation (PBE) of a relaxed NbBiOs3 crystal.

Unit cell a=4.8082 b=4.8082 c=4.8082 alpha=90.00 beta=90.00 gamma=90.00
Fractional positions:
Nb 0.0000 0.0000 0.0000
Bi 0.5000 0.5000 0.5000
Os 0.0000 0.0000 0.5000
Os 0.0000 0.5000 0.0000
Os 0.5000 0.0000 0.0000

Properties
As for the volume: 111 Å³ per cell.

The relative energies come out as entry w 973; entry x 0, with values in meV/atom.

Entry w
The following is a DFT calculation (PBE) of a relaxed PaNb2Bi crystal.

Unit cell a=4.7943 b=4.7943 c=3.7740 alpha=90.00 beta=90.00 gamma=90.00
Fractional positions:
Pa 0.0000 0.0000 0.0000
Nb 0.0000 0.5000 0.5000
Nb 0.5000 0.0000 0.5000
Bi 0.5000 0.5000 0.0000

Properties
As for the volume: 87 Å³ per cell.

Entry x
The following is a DFT calculation (PBE) of a relaxed PaNb2Bi crystal.

Unit cell a=6.3767 b=6.3767 c=6.3767 alpha=45.89 beta=45.89 gamma=45.89
Fractional positions:
Pa 0.0000 0.0000 0.0000
Nb 0.3420 0.3420 0.3420
Nb 0.6580 0.6580 0.6580
Bi 0.5000 0.5000 0.5000

Properties
As for the volume: 122 Å³ per cell.

The relative energies come out as entry w 0; entry x 638, with values in meV/atom.

Entry w
The following is a DFT calculation (PBE) of a relaxed Pa2NbBi crystal.

Unit cell a=7.7690 b=7.7690 c=7.7690 alpha=31.11 beta=31.11 gamma=31.11
Fractional positions:
Pa 0.2346 0.2346 0.2346
Pa 0.7654 0.7654 0.7654
Nb 0.5000 0.5000 0.5000
Bi 0.0000 0.0000 0.0000

Properties
As for the volume: 111 Å³ per cell.

Entry x
The following is a DFT calculation (PBE) of a relaxed Pa2NbBi crystal.

Unit cell a=3.9248 b=3.9248 c=6.4857 alpha=90.00 beta=90.00 gamma=90.00
Fractional positions:
Pa 0.0000 0.0000 0.2381
Pa 0.0000 0.0000 0.7619
Nb 0.5000 0.5000 0.0000
Bi 0.5000 0.5000 0.5000

Properties
As for the volume: 100 Å³ per cell.

The relative energies come out as entry w 312; entry x 0, with values in meV/atom.

Entry w
The following is a DFT calculation (PBE) of a relaxed PaNbBi crystal.

Unit cell a=3.2666 b=3.2666 c=7.8823 alpha=90.00 beta=90.00 gamma=120.00
Fractional positions:
Pa 0.0000 0.0000 0.0000
Nb 0.6667 0.3333 0.3235
Bi 0.3333 0.6667 0.6254

Properties
As for the volume: 73 Å³ per cell.

Entry x
The following is a DFT calculation (PBE) of a relaxed PaNbBi crystal.

Unit cell a=8.0684 b=8.0684 c=8.0684 alpha=147.08 beta=147.08 gamma=47.25
Fractional positions:
Pa 0.1337 0.1337 0.0000
Pa 0.8663 0.8663 0.0000
Nb 0.0000 0.5000 0.5000
Nb 0.5000 0.0000 0.5000
Bi 0.3602 0.3602 0.0000
Bi 0.6398 0.6398 0.0000

Properties
As for the volume: 155 Å³ per cell.

Entry y
The following is a DFT calculation (PBE) of a relaxed PaNbBi crystal.

Unit cell a=6.4129 b=6.4129 c=6.4129 alpha=148.09 beta=148.09 gamma=45.75
Fractional positions:
Pa 0.0000 0.0000 0.0000
Nb 0.3454 0.3454 0.0000
Bi 0.7067 0.7067 0.0000

Properties
As for the volume: 73 Å³ per cell.

The relative energies come out as entry w 335; entry x 0; entry y 218, with values in meV/atom.

Entry w
The following is a DFT calculation (PBE) of a relaxed NbBiPb3 crystal.

Unit cell a=5.5525 b=5.5525 c=5.5525 alpha=90.00 beta=90.00 gamma=90.00
Fractional positions:
Nb 0.0000 0.0000 0.0000
Bi 0.5000 0.5000 0.5000
Pb 0.0000 0.0000 0.5000
Pb 0.0000 0.5000 0.0000
Pb 0.5000 0.0000 0.0000

Properties
As for the volume: 171 Å³ per cell.

Entry x
The following is a DFT calculation (PBE) of a relaxed NbBiPb3 crystal.

Unit cell a=5.8820 b=5.8820 c=5.8820 alpha=90.00 beta=90.00 gamma=90.00
Fractional positions:
Nb 0.0000 0.0000 0.0000
Bi 0.5000 0.5000 0.5000
Pb 0.0000 0.5000 0.5000
Pb 0.5000 0.0000 0.5000
Pb 0.5000 0.5000 0.0000

Properties
As for the volume: 204 Å³ per cell.

The relative energies come out as entry w 0; entry x 1044, with values in meV/atom.

Entry w
The following is a DFT calculation (PBE) of a relaxed Nb2BiPb crystal.

Unit cell a=4.9585 b=4.9585 c=4.9585 alpha=60.00 beta=60.00 gamma=60.00
Fractional positions:
Nb 0.2500 0.2500 0.2500
Nb 0.7500 0.7500 0.7500
Bi 0.0000 0.0000 0.0000
Pb 0.5000 0.5000 0.5000

Properties
As for the volume: 86 Å³ per cell.

Entry x
The following is a DFT calculation (PBE) of a relaxed Nb2BiPb crystal.

Unit cell a=6.3912 b=6.3912 c=6.3912 alpha=103.55 beta=103.55 gamma=122.10
Fractional positions:
Nb 0.1195 0.6250 0.9945
Nb 0.3750 0.3695 0.4945
Nb 0.6305 0.1250 0.0055
Nb 0.8750 0.8805 0.5055
Bi 0.0000 0.0000 0.0000
Bi 0.7500 0.2500 0.5000
Pb 0.2500 0.7500 0.5000
Pb 0.5000 0.5000 0.0000

Properties
As for the volume: 194 Å³ per cell.

The relative energies come out as entry w 0; entry x 439, with values in meV/atom.

Entry w
The following is a DFT calculation (PBE) of a relaxed NbBi3Pb crystal.

Unit cell a=5.7646 b=5.7646 c=5.7646 alpha=90.00 beta=90.00 gamma=90.00
Fractional positions:
Nb 0.0000 0.0000 0.0000
Bi 0.0000 0.5000 0.5000
Bi 0.5000 0.0000 0.5000
Bi 0.5000 0.5000 0.0000
Pb 0.5000 0.5000 0.5000

Properties
As for the volume: 192 Å³ per cell.

Entry x
The following is a DFT calculation (PBE) of a relaxed NbBi3Pb crystal.

Unit cell a=5.5474 b=5.5474 c=5.5474 alpha=90.00 beta=90.00 gamma=90.00
Fractional positions:
Nb 0.0000 0.0000 0.0000
Bi 0.0000 0.0000 0.5000
Bi 0.0000 0.5000 0.0000
Bi 0.5000 0.0000 0.0000
Pb 0.5000 0.5000 0.5000

Properties
As for the volume: 171 Å³ per cell.

The relative energies come out as entry w 1206; entry x 0, with values in meV/atom.

Entry w
The following is a DFT calculation (PBE) of a relaxed NbBi3Pt crystal.

Unit cell a=5.3985 b=5.3985 c=5.3985 alpha=90.00 beta=90.00 gamma=90.00
Fractional positions:
Nb 0.0000 0.0000 0.0000
Bi 0.0000 0.0000 0.5000
Bi 0.0000 0.5000 0.0000
Bi 0.5000 0.0000 0.0000
Pt 0.5000 0.5000 0.5000

Properties
As for the volume: 157 Å³ per cell.

Entry x
The following is a DFT calculation (PBE) of a relaxed NbBi3Pt crystal.

Unit cell a=5.3809 b=5.3809 c=5.3809 alpha=90.00 beta=90.00 gamma=90.00
Fractional positions:
Nb 0.0000 0.0000 0.0000
Bi 0.0000 0.5000 0.5000
Bi 0.5000 0.0000 0.5000
Bi 0.5000 0.5000 0.0000
Pt 0.5000 0.5000 0.5000

Properties
As for the volume: 156 Å³ per cell.

The relative energies come out as entry w 0; entry x 62, with values in meV/atom.

Entry w
The following is a DFT calculation (PBE) of a relaxed Nb3BiPt crystal.

Unit cell a=5.0722 b=5.0722 c=5.0722 alpha=90.00 beta=90.00 gamma=90.00
Fractional positions:
Nb 0.0000 0.0000 0.5000
Nb 0.0000 0.5000 0.0000
Nb 0.5000 0.0000 0.0000
Bi 0.0000 0.0000 0.0000
Pt 0.5000 0.5000 0.5000

Properties
As for the volume: 130 Å³ per cell.

Entry x
The following is a DFT calculation (PBE) of a relaxed Nb3BiPt crystal.

Unit cell a=4.9590 b=4.9590 c=4.9590 alpha=90.00 beta=90.00 gamma=90.00
Fractional positions:
Nb 0.0000 0.0000 0.5000
Nb 0.0000 0.5000 0.0000
Nb 0.5000 0.0000 0.0000
Bi 0.5000 0.5000 0.5000
Pt 0.0000 0.0000 0.0000

Properties
As for the volume: 122 Å³ per cell.

The relative energies come out as entry w 1195; entry x 0, with values in meV/atom.

Entry w
The following is a DFT calculation (PBE) of a relaxed RbNbBi2 crystal.

Unit cell a=5.4730 b=5.4730 c=5.4730 alpha=60.00 beta=60.00 gamma=60.00
Fractional positions:
Rb 0.0000 0.0000 0.0000
Nb 0.5000 0.5000 0.5000
Bi 0.2500 0.2500 0.2500
Bi 0.7500 0.7500 0.7500

Properties
As for the volume: 116 Å³ per cell.

Entry x
The following is a DFT calculation (PBE) of a relaxed RbNbBi2 crystal.

Unit cell a=8.6407 b=8.6407 c=8.6407 alpha=126.59 beta=126.59 gamma=78.91
Fractional positions:
Rb 0.0000 0.0000 0.0000
Rb 0.7500 0.2500 0.5000
Nb 0.2500 0.7500 0.5000
Nb 0.5000 0.5000 0.0000
Bi 0.2631 0.6250 0.1381
Bi 0.3750 0.5131 0.6381
Bi 0.4869 0.1250 0.8619
Bi 0.8750 0.7369 0.3619

Properties
As for the volume: 402 Å³ per cell.

The relative energies come out as entry w 224; entry x 0, with values in meV/atom.

Entry w
The following is a DFT calculation (PBE) of a relaxed RbNbBi3 crystal.

Unit cell a=5.6311 b=5.6311 c=5.6311 alpha=90.00 beta=90.00 gamma=90.00
Fractional positions:
Rb 0.0000 0.0000 0.0000
Nb 0.5000 0.5000 0.5000
Bi 0.0000 0.5000 0.5000
Bi 0.5000 0.0000 0.5000
Bi 0.5000 0.5000 0.0000

Properties
As for the volume: 179 Å³ per cell.

Entry x
The following is a DFT calculation (PBE) of a relaxed RbNbBi3 crystal.

Unit cell a=5.8495 b=5.8495 c=5.8495 alpha=90.00 beta=90.00 gamma=90.00
Fractional positions:
Rb 0.0000 0.0000 0.0000
Nb 0.5000 0.5000 0.5000
Bi 0.0000 0.0000 0.5000
Bi 0.0000 0.5000 0.0000
Bi 0.5000 0.0000 0.0000

Properties
As for the volume: 200 Å³ per cell.

The relative energies come out as entry w 0; entry x 1977, with values in meV/atom.